[1]
A geometry-optimized CdReSn2Mo structure. Source: the Alexandria database, functional GGA-PBEsol.

Output
electronic total energy	-5.9478	eV/atom
volume	126.9	Å³ per cell

Cell lengths 4.8180, 5.1331, 5.1331 Å; angles 90.00, 90.00, 90.00 degrees
Each line ends with the local moment (μB).
Sites, in units of the cell vectors:
Re 0.0000 0.0000 0.0000  -0.06
Mo 0.5000 0.0000 0.0000  1.89
Sn 0.0000 0.0000 0.5000  0.00
Sn 0.0000 0.5000 0.0000  0.00
Cd 0.5000 0.5000 0.5000  0.01

[2]
A geometry-optimized Sc2MoBr structure. Source: the Alexandria database, functional GGA-PBEsol.

Output
electronic total energy	-6.5485	eV/atom
volume	82.8	Å³ per cell
offset from the most stable computed form	522	meV per atom
raw formation energy	163	meV per atom

Cell lengths 3.2061, 3.2061, 9.4793 Å; angles 80.26, 80.26, 60.00 degrees
Each line ends with the local moment (μB).
Sites, in units of the cell vectors:
Br 0.4963 0.4963 0.5110  0.02
Mo 0.2522 0.2522 0.2433  1.21
Sc 0.9932 0.9932 0.0205  0.11
Sc 0.7583 0.7583 0.7252  0.39

[3]
A geometry-optimized Te2HOsN structure. Source: the Alexandria database, functional GGA-PBEsol.

Output
electronic total energy	-5.3938	eV/atom
volume	104.5	Å³ per cell

Cell lengths 3.6214, 5.3727, 5.3727 Å; angles 90.00, 90.00, 90.00 degrees
Each line ends with the local moment (μB).
Sites, in units of the cell vectors:
H 0.5000 0.5000 0.5000  0.14
Te 0.0000 0.0000 0.5000  0.01
Te 0.0000 0.5000 0.0000  0.01
Os 0.0000 0.0000 0.0000  -0.05
N 0.5000 0.0000 0.0000  0.00

[4]
A geometry-optimized Cr2RuRh structure. Source: the Alexandria database, functional GGA-PBEsol.

Output
electronic total energy	-9.6547	eV/atom
volume	49.5	Å³ per cell

Cell lengths 2.6380, 3.9090, 4.9809 Å; angles 90.00, 105.36, 90.00 degrees
Sites, in units of the cell vectors:
Ru 0.4143 0.5000 0.8287
Rh 0.0764 0.0000 0.1529
Cr 0.8107 0.0000 0.6215
Cr 0.6824 0.5000 0.3648

| no. | mass density (Mg/m³) |
| --- | --- |
| 1 | 8.27 |
| 2 | 5.33 |
| 3 | 7.31 |
| 4 | 10.32 |